Entry 1:
5
Lattice="-2.5199 -3.5509 -1.8431 4.0844 -2.3828 -0.9936 -0.1788 -2.0762 4.2442" Properties=species:S:1:pos:R:3 comment="AlTlHgMo2 PBE-GGA optimized geometry" spacegroup="P4/mmm, No. 123" crystal_system=tetragonal pbc="T T T"
Al 0.0000 0.0000 0.0000
Mo -0.0894 -1.0381 2.1221
Mo -1.2600 -1.7754 -0.9216
Tl 0.6928 -4.0049 0.7038
Hg 2.0422 -1.1914 -0.4968


Entry 2:
14
Lattice="-3.4386 -4.8345 4.8026 -6.0774 -4.3496 -2.6643 1.2650 -7.7848 -0.8652" Properties=species:S:1:pos:R:3 comment="LiThInS4 PBE-GGA optimized geometry" e_form_raw_ev_per_atom=-1.295 spacegroup="Imma, No. 74" crystal_system=orthorhombic pbc="T T T"
In 0.6325 -3.8924 -0.4326
In -1.0868 -6.3096 1.9687
Li -2.4711 -10.3060 -0.0125
Li -5.7799 -6.6629 1.2856
S -3.5652 -6.7799 2.7536
S -1.3983 -8.0879 -0.1557
S -3.1807 -10.5939 2.3337
S -6.4117 -12.6411 0.8810
S -5.0703 -6.3750 -1.0606
S -1.8393 -4.3278 0.3921
S -6.8528 -8.8810 1.4288
S -4.6858 -10.1890 -1.4806
Th -2.4062 -6.0672 -1.7647
Th 0.0000 0.0000 0.0000


Entry 3:
8
Lattice="4.5617 0.0000 0.0000 0.0000 7.9802 0.1870 0.0000 -2.7835 7.3466" Properties=species:S:1:pos:R:3 comment="NaLa2PrTe4 PBE-GGA optimized geometry" e_form_raw_ev_per_atom=-1.467 spacegroup="P2/m, No. 10" crystal_system=monoclinic pbc="T T T"
Te 2.2808 1.3201 1.8547
Te 2.2808 3.8766 5.6789
Te 0.0000 5.2852 1.9532
Te 0.0000 -0.0886 5.5804
La 0.0000 2.5983 3.7668
La 2.2808 -1.3918 3.6733
Pr 0.0000 0.0000 0.0000
Na 2.2808 3.9901 0.0935


Entry 4:
10
Lattice="7.8725 0.0000 0.0000 0.0000 7.8725 0.0000 0.0000 0.0000 5.8399" Properties=species:S:1:pos:R:3 comment="K2AlBi2 PBE-GGA optimized geometry" relative_energy_kj_per_mol_atoms=0.0 spacegroup="P4/mbm, No. 127" crystal_system=tetragonal pbc="T T T"
K 5.2398 6.5690 2.9200
K 6.5690 2.6327 2.9200
K 2.6327 1.3036 2.9200
K 1.3036 5.2398 2.9200
Bi 6.7192 5.0896 0.0000
Bi 2.7829 6.7192 0.0000
Bi 1.1534 2.7829 0.0000
Bi 5.0896 1.1534 0.0000
Al 3.9363 3.9363 0.0000
Al 0.0000 0.0000 0.0000


Entry 5:
7
Lattice="-3.0024 2.3242 -3.9261 -0.1817 -2.2322 -4.9815 -8.4341 -5.1317 -0.3871" Properties=species:S:1:pos:R:3 comment="KCd2Bi2Pb2 PBE-GGA optimized geometry" spacegroup="R-3m, No. 166" crystal_system=trigonal pbc="T T T"
Pb -5.4809 -3.0638 -1.4214
Pb -6.1373 -1.9758 -7.8733
Bi -8.6798 -3.7560 -6.9829
Bi -2.9384 -1.2836 -2.3118
K 0.0000 0.0000 0.0000
Cd -8.1190 -4.1372 -3.8384
Cd -3.4992 -0.9024 -5.4563


Entry 6:
14
Lattice="6.4510 -0.7950 -0.0328 1.2926 6.3699 -0.0328 2.7865 2.0061 5.8907" Properties=species:S:1:pos:R:3 comment="TiAlPd5 PBE-GGA optimized geometry" relative_energy_kj_per_mol_atoms=41.2 spacegroup="C2/c, No. 15" crystal_system=monoclinic pbc="T T T"
Pd 2.2164 2.7068 0.9045
Pd 6.8139 2.6608 5.7431
Pd 4.3570 6.5208 4.3852
Pd 8.3137 4.8742 4.9206
Pd 7.2382 2.9663 3.0273
Pd 5.8667 5.3348 1.9752
Pd 3.7162 4.9201 0.0820
Pd 4.6633 2.2462 3.8498
Pd 6.1730 1.0602 1.4398
Pd 3.2919 4.6147 2.7977
Ti 5.7990 4.5179 4.3852
Ti 4.7311 3.0630 1.4398
Al 1.3932 1.0030 2.9453
Al 0.0000 0.0000 0.0000


Listing E_tot for the structures above in their given order: -4.2910; -5.3783; -5.0316; -2.9097; -2.6302; -5.6074 eV per atom.
Listing volume for the structures above in their given order: 108.0; 353.7; 269.8; 361.9; 241.9; 249.1 Å³ per cell.